Material: Cr2RuO6
Method: DFT, GGA+U
State: optimized geometry

Computed properties:
* crystal system: trigonal
* space group: P-3m1 (164)
* total energy: -197.96 eV/cell

The structure in CIF format:
```
data_Cr2RuO6
_chemical_formula_sum 'Cr6 Ru3 O18'
_cell_length_a 8.775
_cell_length_b 8.775
_cell_length_c 4.299
_cell_angle_alpha 90.00
_cell_angle_beta 90.00
_cell_angle_gamma 120.00
_space_group_name_H-M_alt 'P 1'
_space_group_IT_number 1
loop_
_space_group_symop_operation_xyz
'x,y,z'
loop_
_atom_site_label
_atom_site_type_symbol
_atom_site_fract_x
_atom_site_fract_y
_atom_site_fract_z
Cr1 Cr 0.000 0.340 0.000
Cr2 Cr 0.000 0.660 0.000
Cr3 Cr 0.340 0.000 0.000
Cr4 Cr 0.340 0.340 0.000
Cr5 Cr 0.660 0.000 0.000
Cr6 Cr 0.660 0.660 0.000
Ru1 Ru 0.000 0.000 0.000
Ru2 Ru 0.333 0.667 0.496
Ru3 Ru 0.667 0.333 0.504
O1 O 0.112 0.225 0.775
O2 O 0.112 0.888 0.775
O3 O 0.118 0.559 0.749
O4 O 0.225 0.112 0.225
O5 O 0.226 0.453 0.243
O6 O 0.226 0.774 0.243
O7 O 0.441 0.559 0.749
O8 O 0.441 0.882 0.749
O9 O 0.453 0.226 0.757
O10 O 0.547 0.774 0.243
O11 O 0.559 0.118 0.251
O12 O 0.559 0.441 0.251
O13 O 0.774 0.226 0.757
O14 O 0.774 0.547 0.757
O15 O 0.775 0.888 0.775
O16 O 0.882 0.441 0.251
O17 O 0.888 0.112 0.225
O18 O 0.888 0.775 0.225
```